A plane-wave DFT calculation with PBE-GGA was carried out for SrAg2Rh after structural relaxation.

Values from the calculation:
The density of states at the Fermi level comes out at 4.3 states/eV per cell. As for the formation energy: 0.00 eV per atom.

Geometry as CIF:
```
data_SrAg2Rh
_symmetry_space_group_name_H-M 'I m m m'
_symmetry_Int_Tables_number 71
_symmetry_space_group_name_Hall '-I 2 2'
_cell_length_a 3.394
_cell_length_b 4.807
_cell_length_c 10.328
_cell_angle_alpha 90.00
_cell_angle_beta 90.00
_cell_angle_gamma 90.00
loop_
_atom_site_label
_atom_site_fract_x
_atom_site_fract_y
_atom_site_fract_z
Sr1 0.000 0.000 0.000
Ag1 0.000 0.500 0.222
Rh1 0.000 0.000 0.500
```


A plane-wave DFT calculation with PBE-GGA was carried out for Li2Cu5O6 after structural relaxation.

Values from the calculation:
The density of states at the Fermi level comes out at 31.2 states/eV per cell. The calculation puts the uncorrected formation energy at -768 meV/atom.

Geometry as CIF:
```
data_Li2Cu5O6
_symmetry_space_group_name_H-M 'C 1 2/c 1'
_symmetry_Int_Tables_number 15
_cell_length_a 9.374
_cell_length_b 5.740
_cell_length_c 11.235
_cell_angle_alpha 90.00
_cell_angle_beta 102.94
_cell_angle_gamma 90.00
loop_
_symmetry_equiv_pos_as_xyz
'x,y,z'
'-x,-y,-z'
'-x,y,-z+1/2'
'x,-y,z+1/2'
'x+1/2,y+1/2,z'
'-x+1/2,-y+1/2,-z'
'-x+1/2,y+1/2,-z+1/2'
'x+1/2,-y+1/2,z+1/2'
loop_
_atom_site_label
_atom_site_fract_x
_atom_site_fract_y
_atom_site_fract_z
Li1 0.248 0.019 0.068
Cu1 0.000 0.049 0.250
Cu2 0.005 0.248 0.504
Cu3 0.148 0.487 0.200
O1 0.045 0.500 0.400
O2 0.085 0.002 0.422
O3 0.185 0.133 0.212
```


A plane-wave DFT calculation with PBE-GGA was carried out for Cd3PdBr after structural relaxation.

Values from the calculation:
The density of states at the Fermi level comes out at 1.7 states/eV per cell. The calculation puts the uncorrected formation energy at -145 meV/atom.

Geometry as CIF:
```
data_Cd3PdBr
_symmetry_space_group_name_H-M 'P m -3 m'
_symmetry_Int_Tables_number 221
_symmetry_space_group_name_Hall '-P 4 2 3'
_cell_length_a 5.255
_cell_length_b 5.255
_cell_length_c 5.255
_cell_angle_alpha 90.00
_cell_angle_beta 90.00
_cell_angle_gamma 90.00
loop_
_atom_site_label
_atom_site_fract_x
_atom_site_fract_y
_atom_site_fract_z
Cd1 0.000 0.000 0.500
Pd1 0.000 0.000 0.000
Br1 0.500 0.500 0.500
```


A plane-wave DFT calculation with PBE-GGA was carried out for Cs2Tl5Sn after structural relaxation.

Values from the calculation:
The density of states at the Fermi level comes out at 8.5 states/eV per cell. As for the formation energy: -0.08 eV per atom.

Geometry as CIF:
```
data_Cs2Tl5Sn
_symmetry_space_group_name_H-M 'I 4/m m m'
_symmetry_Int_Tables_number 139
_symmetry_space_group_name_Hall '-I 4 2'
_cell_length_a 5.725
_cell_length_b 5.725
_cell_length_c 18.047
_cell_angle_alpha 90.00
_cell_angle_beta 90.00
_cell_angle_gamma 90.00
loop_
_atom_site_label
_atom_site_fract_x
_atom_site_fract_y
_atom_site_fract_z
Cs1 0.000 0.000 0.245
Tl1 0.000 0.000 0.500
Tl2 0.000 0.500 0.096
Sn1 0.000 0.000 0.000
```